1.
# K2Zn9Au6

A geometry-optimized K2Zn9Au6 structure (PBE, Alexandria).

Output
* ΔH_f (0 K): -0.15 eV/atom

Geometry as POSCAR:
```
K2Zn9Au6
1.0
-2.700 4.167 2.934
1.125 -5.053 2.542
11.117 4.445 3.917
Au Zn K
6 9 2
direct
0.333 0.667 0.000
0.333 0.667 0.331
0.667 0.333 0.331
0.667 0.333 0.669
0.333 0.667 0.669
0.667 0.333 0.000
0.000 0.500 0.500
0.000 0.500 0.162
0.500 0.500 0.500
0.500 0.000 0.500
0.500 0.500 0.162
0.500 0.000 0.162
0.500 0.000 0.838
0.000 0.500 0.838
0.500 0.500 0.838
0.000 0.000 0.675
0.000 0.000 0.325
```

2.
# KZn2Au

A geometry-optimized KZn2Au structure (PBE, Alexandria).

Output
* energy above the lowest structure with this stoichiometry: 36.42 kJ per mole of atoms
* ΔH_f (0 K): 0.16 eV/atom

Geometry as POSCAR:
```
KZn2Au
1.0
4.496 0.000 0.000
0.000 4.499 0.000
0.000 0.000 4.716
Zn K Au
2 1 1
direct
0.500 0.500 0.000
0.000 0.000 0.000
0.000 0.500 0.500
0.500 0.000 0.500
```

3.
# KZn2Au

A geometry-optimized KZn2Au structure (PBE, Alexandria).

Output
* energy above the lowest structure with this stoichiometry: 19.14 kJ per mole of atoms
* ΔH_f (0 K): -0.02 eV/atom

Geometry as POSCAR:
```
KZn2Au
1.0
-1.661 -1.828 -1.702
3.130 -0.968 -2.014
1.378 -5.873 4.964
K Zn Au
1 2 1
direct
0.500 0.500 0.742
0.000 0.000 0.068
0.500 0.500 0.266
0.000 0.000 0.424
```

4.
# K2ZnAu

A geometry-optimized K2ZnAu structure (PBE, Alexandria).

Output
* energy above the lowest structure with this stoichiometry: 11.05 kJ per mole of atoms
* ΔH_f (0 K): -0.08 eV/atom

Geometry as POSCAR:
```
K2ZnAu
1.0
-2.584 -0.717 2.605
2.705 -0.656 2.503
-0.060 9.552 2.570
K Au Zn
2 1 1
direct
0.500 0.500 0.335
0.000 0.000 0.911
0.500 0.500 0.663
0.000 0.000 0.591
```